Compound: Re2AgTe
Source: the Alexandria database
Functional: PBE
Structure: optimized geometry

Summary:
VASP energy = -7.3129 eV per atom
density of states at the Fermi level = 2.68 states/eV/cell
ΔE_f (raw) = 0.41 eV per atom
calculated volume = 19.834 A^3/atom
size of the total moment = 0.00 μB per formula unit

Cell lengths 3.001, 3.008, 8.787 Å; angles 89.85, 90.00, 90.00 degrees
Fractional positions:
Re1 0.500 0.500 0.200
Re2 0.000 0.001 0.034
Ag1 0.500 0.502 0.794
Te1 0.000 0.497 0.471